Record 1
## MnGaMoO6 (PBE+U)

Data for a relaxed MnGaMoO6 crystal.

Summary:
magnetic moment	0.444	μB/atom

a = 4.585 Å, b = 4.585 Å, c = 9.126 Å
α = 90.00°, β = 90.00°, γ = 90.00°
Space group P4_2nm (No. 102)
Unique sites:
Mn (0.000, 0.000, 0.000)
Ga (0.000, 0.000, 0.334)
Mo (0.000, 0.000, 0.667)
O (0.192, 0.192, 0.837)
O (0.195, 0.195, 0.164)
O (0.199, 0.199, 0.499)

---

Record 2
## Mn2GaMoO6 (PBE+U)

Data for a relaxed Mn2GaMoO6 crystal.

Summary:
magnetic moment	0.900	μB/atom

a = 5.283 Å, b = 5.301 Å, c = 5.545 Å
α = 118.00°, β = 90.81°, γ = 118.86°
Space group P1 (No. 1)
Unique sites:
Mn (0.000, 0.000, 0.000)
Mn (0.483, 0.001, 0.506)
Ga (0.259, 0.539, 0.833)
Mo (0.778, 0.569, 0.354)
O (0.063, 0.729, 0.144)
O (0.157, 0.730, 0.653)
O (0.413, 0.488, 0.132)
O (0.552, 0.488, 0.642)
O (0.675, 0.120, 0.147)
O (0.907, 0.068, 0.630)

---

Record 3
## MnGaMoO4 (PBE+U)

Data for a relaxed MnGaMoO4 crystal.

Summary:
magnetic moment	0.859	μB/atom

a = 5.912 Å, b = 9.472 Å, c = 6.476 Å
α = 90.00°, β = 90.00°, γ = 90.00°
Space group Cmcm (No. 63)
Unique sites:
Mn (0.000, 0.000, 0.000)
Ga (0.000, 0.337, 0.250)
Mo (0.000, 0.346, 0.750)
O (0.000, 0.227, 0.012)
O (0.228, 0.482, 0.250)

---

no.,electronic total energy (eV per atom),V (A^3/atom)
1,-6.85,10.66
2,-7.15,11.41
3,-6.72,12.95